Computed, not measured: an optimized crystal structure of Sm2PtS at the GGA-PBE level of DFT.

Its space group is Pmmn, No. 59. The uncorrected formation energy comes out at -1.516 eV per atom. The distance to the lowest polymorph of the same formula is 5.92 kJ/mol of atoms.

Unit cell a=4.032 b=5.828 c=8.418 alpha=90.00 beta=90.00 gamma=90.00
Atoms (fractional coordinates):
Sm (0.500, 0.500, 0.130)
Sm (0.500, 0.500, 0.635)
S (0.500, 0.000, 0.611)
Sm (0.000, 0.000, 0.870)
S (0.000, 0.500, 0.389)
Pt (0.000, 0.500, 0.880)
Pt (0.500, 0.000, 0.120)
Sm (0.000, 0.000, 0.365)